VASP calculation (PBE) on an optimized crystal structure of AcPrNi2.

Geometry as CIF:
```
data_AcPrNi2
_cell_length_a 5.0940
_cell_length_b 5.0940
_cell_length_c 5.0940
_cell_angle_alpha 60.00
_cell_angle_beta 60.00
_cell_angle_gamma 60.00
_symmetry_space_group_name_H-M 'P 1'
_symmetry_Int_Tables_number 1
loop_
_symmetry_equiv_pos_as_xyz
'x,y,z'
loop_
_atom_site_label
_atom_site_type_symbol
_atom_site_fract_x
_atom_site_fract_y
_atom_site_fract_z
_atom_site_occupancy
Pr1 Pr 0.5000 0.5000 0.5000 1
Ni1 Ni 0.7500 0.7500 0.7500 1
Ni2 Ni 0.2500 0.2500 0.2500 1
Ac1 Ac 0.0000 0.0000 0.0000 1
```

Output
- Raw total energy: -21.018 eV for the cell shown
- Density of states at the Fermi level: 0.9700 states/eV per atom
- Space group: No. 225
- Size of the total moment: 0.00 Bohr magnetons per cell
- Relative energy among the computed polymorphs: 0.50 eV/f.u.
- Energy of formation: -14 kJ per mole of atoms